Gd3Co29Si4B10: relaxed, PBE.

Geometry as POSCAR:
```
Gd3Co29Si4B10
1.0
-7.3311 2.7266 -0.0150
-3.3795 -9.0563 5.5160
1.9054 5.1765 9.6663
Gd Co Si B
6 58 8 20
Cartesian
-1.6898 -4.5282 2.7580
-5.7239 -4.1348 6.5461
-3.0814 2.9816 8.6212
-0.7371 -1.9399 7.5912
0.9527 2.5882 4.8332
0.0000 0.0000 0.0000
-5.3288 1.3618 2.1155
-8.9460 -4.0735 7.1484
-6.6423 -2.9456 4.0185
-2.8102 -1.9272 3.3139
-6.0721 -0.6300 3.3287
-3.0843 -5.7654 5.4862
-5.7209 4.6121 9.6811
-1.0053 -1.9789 12.9767
-2.3713 -0.7350 5.5402
-1.5999 3.2782 6.0985
-5.3945 -2.6520 9.1823
-2.7331 -0.5232 11.8386
-4.7379 -5.1423 9.1267
-3.1522 -1.6617 9.7126
-4.5285 -0.2995 13.5753
-0.9838 4.9521 9.2243
-4.2767 -0.8537 1.5920
-5.0127 -1.4567 11.3787
-1.6323 -3.6823 9.7959
-6.1410 3.4707 7.5497
-3.4107 1.4988 5.9850
-4.3099 -4.0199 3.9704
0.1408 2.9202 8.0189
-3.4025 5.7952 9.4132
-4.0673 3.9891 6.0406
-2.0318 0.1586 2.0435
-7.2053 -4.4315 9.0687
-4.9098 2.5004 4.2415
-2.7791 0.1185 8.0231
-1.5930 1.3508 4.2698
-7.8214 -6.1054 5.9430
-3.8955 -3.6536 10.9258
-8.2008 -2.0765 5.9321
-7.7999 0.8257 2.1906
-3.0758 2.3804 2.5350
-5.7294 -3.5337 12.6322
-4.4953 2.8667 11.1969
-8.0425 0.1873 4.6885
-5.9950 0.7740 11.8534
-6.7734 -1.3118 13.1238
-7.2122 -2.5040 10.8975
-2.6642 -4.6239 7.6176
-6.4339 -0.4182 9.6271
-0.6044 0.9233 9.2352
-6.0262 -1.2717 7.1442
-1.8748 -4.3206 12.2938
-0.7628 -1.3406 10.4788
-5.1601 1.0606 7.8243
-7.1729 2.5290 5.3714
-5.6531 0.5085 5.4547
-4.6117 -1.7353 5.0419
-3.4764 -2.5151 13.0518
-3.7925 0.3035 3.7886
-3.6451 -2.2138 7.3430
-5.4027 -6.9484 5.7541
-2.1629 1.7924 11.1488
-6.9304 3.1674 2.8735
-4.1936 0.5821 10.1254
-7.7568 -2.3077 8.3004
-8.4504 -4.1918 4.7820
-6.0761 2.2185 9.6202
-1.0484 1.1544 6.8669
-3.9592 -6.6681 7.5548
-4.8460 5.5148 7.6125
-2.7291 -3.3717 5.5471
-0.3549 3.0386 10.3853
-4.8838 -2.3010 3.0170
-1.1548 -0.6775 3.7940
-6.6366 -1.2799 5.1971
-2.9194 2.9892 4.5596
-6.6085 1.3508 3.7828
-3.9214 1.1478 12.1503
-4.6296 -0.7763 8.5574
-5.1775 -2.2184 14.2005
-3.5221 -3.5183 8.9073
-7.6504 -0.4757 11.3733
-4.3537 4.8902 10.9753
-2.1967 -2.5040 11.3845
-4.1756 -0.3770 6.6099
-5.2831 2.3651 6.2600
-0.5200 4.5444 7.2794
-3.6277 1.0651 0.9668
-2.1686 0.1267 9.9701
-4.4516 -6.0434 4.1920
-8.2852 -5.6976 7.8879
-5.8858 -4.1424 10.6076
```

M_tot = 39.0 μB/f.u.
ΔE_f (raw) = -39.7 kJ/mol of atoms
final energy = -711.41 eV per cell

GdYCo4B4: relaxed, PBE.

Geometry as POSCAR:
```
GdYCo4B4
1.0
-3.0070 -0.9880 1.6158
1.1353 -3.3671 0.0539
4.0543 1.5025 8.4641
Gd Y Co B
1 1 4 4
Cartesian
0.0000 0.0000 0.0000
1.0913 -1.4263 5.0669
1.5897 -1.3048 2.1606
1.5288 0.6297 7.1383
-0.4815 -0.1153 2.9415
3.5999 -0.5598 6.3574
-0.3044 -1.9435 2.1532
2.6411 0.9788 5.5138
1.4132 0.5237 2.9503
2.4869 -0.9091 7.9805
```

calculated formation energy = -550 meV per atom
M_tot = 7.0 μB/f.u.
final energy = -81.18 eV per cell

Co12Ge5B2: relaxed, PBE.

Geometry as POSCAR:
```
Co12Ge5B2
1.0
5.2121 0.0000 0.0000
-2.6061 7.6930 -0.5345
0.0000 -3.3495 5.6046
Co Ge B
12 5 2
Cartesian
0.0000 -0.1632 1.1382
-1.3464 2.4369 4.6406
1.3464 2.4369 4.6406
-1.2359 4.1292 1.7613
1.2359 4.1292 1.7613
2.6061 -2.1585 4.0188
0.0000 6.5020 1.0513
3.8420 0.2144 3.3088
1.3702 0.2144 3.3088
3.9524 1.9067 0.4295
1.2597 1.9067 0.4295
2.6061 4.5068 3.9319
0.0000 2.1123 2.5566
0.0000 0.5446 5.3047
0.0000 -1.6747 2.8023
2.6061 3.7990 -0.2346
2.6061 2.2312 2.5135
3.4881 0.0000 0.0000
1.7240 0.0000 0.0000
```

calculated formation energy = 16 meV per atom
M_tot = 6.7 μB/f.u.
final energy = -121.42 eV per cell

Co6GeB2: relaxed, PBE.

Geometry as POSCAR:
```
Co6GeB2
1.0
-0.8262 -1.4439 -5.8873
2.0196 -4.6804 3.3827
-5.2721 1.5678 2.6786
Co Ge B
12 2 4
Cartesian
-0.8133 -1.7667 -1.3436
-3.2654 -2.7899 1.5176
-0.3175 -4.3105 -2.3839
-3.7611 -0.2461 2.5580
-3.7299 -2.3384 3.9406
-0.3488 -2.2182 -3.7666
-2.0366 -3.8335 -0.6211
-2.0420 -0.7231 0.7951
-1.8497 -3.9909 3.3613
-2.2290 -0.5657 -3.1873
-3.4053 -1.6915 -0.9951
-0.6733 -2.8651 1.1691
-1.6262 -1.5563 3.0307
0.0000 0.0000 0.0000
-4.2912 -1.1267 0.7103
0.2125 -3.4299 -0.5363
-2.1787 0.0442 -1.1464
-3.9196 0.0796 -2.0623
```

calculated formation energy = -191 meV per atom
M_tot = 4.6 μB/f.u.
final energy = -124.64 eV per cell